Record 1
## Pm2LuPa (PBE)

Data for Pm2LuPa after structural relaxation.

VASP energy ... -5.64 eV/atom
Total magnetic moment ... 0.001 μB/atom
Volume ... 121 Å³/cell

```
data_Pm2LuPa
_chemical_formula_sum 'Pm2 Lu1 Pa1'
_symmetry_space_group_name_H-M 'P 4/m m m'
_symmetry_Int_Tables_number 123
_symmetry_space_group_name_Hall '-P 4 2'
_cell_length_a 4.9709
_cell_length_b 4.9709
_cell_length_c 4.8938
_cell_angle_alpha 90.00
_cell_angle_beta 90.00
_cell_angle_gamma 90.00
loop_
_atom_site_label
_atom_site_type_symbol
_atom_site_fract_x
_atom_site_fract_y
_atom_site_fract_z
_atom_site_occupancy
Pm1 Pm 0.0000 0.5000 0.0000 1
Lu1 Lu 0.0000 0.0000 0.5000 1
Pa1 Pa 0.5000 0.5000 0.5000 1
```



Record 2
## Pm2LuPa (PBE)

Data for Pm2LuPa after structural relaxation.

VASP energy ... -5.71 eV/atom
Total magnetic moment ... 0.000 μB/atom
Volume ... 121 Å³/cell

```
data_Pm2LuPa
_chemical_formula_sum 'Pm2 Lu1 Pa1'
_symmetry_space_group_name_H-M 'P 4/m m m'
_symmetry_Int_Tables_number 123
_symmetry_space_group_name_Hall '-P 4 2'
_cell_length_a 3.4329
_cell_length_b 3.4329
_cell_length_c 10.2995
_cell_angle_alpha 90.00
_cell_angle_beta 90.00
_cell_angle_gamma 90.00
loop_
_atom_site_label
_atom_site_type_symbol
_atom_site_fract_x
_atom_site_fract_y
_atom_site_fract_z
_atom_site_occupancy
Pm1 Pm 0.0000 0.0000 0.2361 1
Lu1 Lu 0.5000 0.5000 0.5000 1
Pa1 Pa 0.5000 0.5000 0.0000 1
```



Record 3
## Pm2LuPa (PBE)

Data for Pm2LuPa after structural relaxation.

VASP energy ... -5.49 eV/atom
Total magnetic moment ... 0.920 μB/atom
Volume ... 500 Å³/cell

```
data_Pm2LuPa
_chemical_formula_sum 'Pm8 Lu4 Pa4'
_symmetry_space_group_name_H-M 'F m -3 m'
_symmetry_Int_Tables_number 225
_symmetry_space_group_name_Hall '-F 4 2 3'
_cell_length_a 7.9364
_cell_length_b 7.9364
_cell_length_c 7.9364
_cell_angle_alpha 90.00
_cell_angle_beta 90.00
_cell_angle_gamma 90.00
loop_
_atom_site_label
_atom_site_type_symbol
_atom_site_fract_x
_atom_site_fract_y
_atom_site_fract_z
_atom_site_occupancy
Pm1 Pm 0.2500 0.2500 0.2500 1
Lu1 Lu 0.0000 0.0000 0.0000 1
Pa1 Pa 0.0000 0.0000 0.5000 1
```



Record 4
## PmLuPuPa (PBE)

Data for PmLuPuPa after structural relaxation.

VASP energy ... -7.95 eV/atom
Total magnetic moment ... 2.170 μB/atom
Volume ... 452 Å³/cell

```
data_PmLuPuPa
_chemical_formula_sum 'Pm4 Lu4 Pu4 Pa4'
_symmetry_space_group_name_H-M 'F -4 3 m'
_symmetry_Int_Tables_number 216
_symmetry_space_group_name_Hall 'F -4 2 3'
_cell_length_a 7.6742
_cell_length_b 7.6742
_cell_length_c 7.6742
_cell_angle_alpha 90.00
_cell_angle_beta 90.00
_cell_angle_gamma 90.00
loop_
_atom_site_label
_atom_site_type_symbol
_atom_site_fract_x
_atom_site_fract_y
_atom_site_fract_z
_atom_site_occupancy
Pm1 Pm 0.0000 0.0000 0.0000 1
Lu1 Lu 0.2500 0.2500 0.2500 1
Pu1 Pu 0.0000 0.0000 0.5000 1
Pa1 Pa 0.2500 0.2500 0.7500 1
```



Record 5
## PmLuScPa (PBE)

Data for PmLuScPa after structural relaxation.

VASP energy ... -5.93 eV/atom
Total magnetic moment ... 0.184 μB/atom
Volume ... 454 Å³/cell

```
data_PmLuScPa
_chemical_formula_sum 'Pm4 Lu4 Sc4 Pa4'
_symmetry_space_group_name_H-M 'F -4 3 m'
_symmetry_Int_Tables_number 216
_symmetry_space_group_name_Hall 'F -4 2 3'
_cell_length_a 7.6834
_cell_length_b 7.6834
_cell_length_c 7.6834
_cell_angle_alpha 90.00
_cell_angle_beta 90.00
_cell_angle_gamma 90.00
loop_
_atom_site_label
_atom_site_type_symbol
_atom_site_fract_x
_atom_site_fract_y
_atom_site_fract_z
_atom_site_occupancy
Pm1 Pm 0.0000 0.0000 0.0000 1
Lu1 Lu 0.2500 0.2500 0.2500 1
Sc1 Sc 0.0000 0.0000 0.5000 1
Pa1 Pa 0.2500 0.2500 0.7500 1
```



Record 6
## PmSmLuPa (PBE)

Data for PmSmLuPa after structural relaxation.

VASP energy ... -5.49 eV/atom
Total magnetic moment ... 0.926 μB/atom
Volume ... 497 Å³/cell

```
data_PmSmLuPa
_chemical_formula_sum 'Pm4 Sm4 Lu4 Pa4'
_symmetry_space_group_name_H-M 'F -4 3 m'
_symmetry_Int_Tables_number 216
_symmetry_space_group_name_Hall 'F -4 2 3'
_cell_length_a 7.9233
_cell_length_b 7.9233
_cell_length_c 7.9233
_cell_angle_alpha 90.00
_cell_angle_beta 90.00
_cell_angle_gamma 90.00
loop_
_atom_site_label
_atom_site_type_symbol
_atom_site_fract_x
_atom_site_fract_y
_atom_site_fract_z
_atom_site_occupancy
Pm1 Pm 0.0000 0.0000 0.0000 1
Sm1 Sm 0.0000 0.0000 0.5000 1
Lu1 Lu 0.2500 0.2500 0.2500 1
Pa1 Pa 0.2500 0.2500 0.7500 1
```



Record 7
## PrLuPa (PBE)

Data for PrLuPa after structural relaxation.

VASP energy ... -6.09 eV/atom
Total magnetic moment ... 0.000 μB/atom
Volume ... 179 Å³/cell

```
data_PrLuPa
_chemical_formula_sum 'Pr2 Lu2 Pa2'
_symmetry_space_group_name_H-M 'I 4 m m'
_symmetry_Int_Tables_number 107
_symmetry_space_group_name_Hall 'I 4 -2'
_cell_length_a 3.4130
_cell_length_b 3.4130
_cell_length_c 15.3386
_cell_angle_alpha 90.00
_cell_angle_beta 90.00
_cell_angle_gamma 90.00
loop_
_atom_site_label
_atom_site_type_symbol
_atom_site_fract_x
_atom_site_fract_y
_atom_site_fract_z
_atom_site_occupancy
Pr1 Pr 0.0000 0.0000 0.0000 1
Lu1 Lu 0.0000 0.0000 0.6882 1
Pa1 Pa 0.0000 0.0000 0.3390 1
```



Record 8
## Pr2LuPa (PBE)

Data for Pr2LuPa after structural relaxation.

VASP energy ... -5.70 eV/atom
Total magnetic moment ... 0.000 μB/atom
Volume ... 125 Å³/cell

```
data_Pr2LuPa
_chemical_formula_sum 'Pr2 Lu1 Pa1'
_symmetry_space_group_name_H-M 'P 4/m m m'
_symmetry_Int_Tables_number 123
_symmetry_space_group_name_Hall '-P 4 2'
_cell_length_a 3.4569
_cell_length_b 3.4569
_cell_length_c 10.4202
_cell_angle_alpha 90.00
_cell_angle_beta 90.00
_cell_angle_gamma 90.00
loop_
_atom_site_label
_atom_site_type_symbol
_atom_site_fract_x
_atom_site_fract_y
_atom_site_fract_z
_atom_site_occupancy
Pr1 Pr 0.0000 0.0000 0.2368 1
Lu1 Lu 0.5000 0.5000 0.5000 1
Pa1 Pa 0.5000 0.5000 0.0000 1
```